DFT (PBE-GGA) results for a relaxed Na2YSn2 crystal.

a = 8.9922 Å, b = 8.9922 Å, c = 3.2599 Å
α = 90.00°, β = 90.00°, γ = 90.00°
Atoms (fractional coordinates):
Sn  0.8134  0.3134  0.5000
Sn  0.1866  0.6866  0.5000
Sn  0.3134  0.1866  0.5000
Sn  0.6866  0.8134  0.5000
Na  0.1118  0.3882  0.0000
Na  0.6118  0.1118  0.0000
Y  0.0000  0.0000  0.0000
Y  0.5000  0.5000  0.0000
Na  0.8882  0.6118  0.0000
Na  0.3882  0.8882  0.0000

Values from the calculation:
Calculated formation energy (eV/atom): -0.187
ρ (g cm⁻³): 4.7
Symmetry: P4/mbm (127)
Energy relative to the lowest polymorph listed for this composition (kJ per mole of atoms): 0.0

***

DFT (PBE-GGA) results for a relaxed NaYSn crystal.

a = 5.3762 Å, b = 5.3762 Å, c = 3.6125 Å
α = 90.00°, β = 90.00°, γ = 120.00°
Atoms (fractional coordinates):
Y  0.0000  0.0000  0.0000
Sn  0.3333  0.6667  0.0000
Na  0.6667  0.3333  0.5000

Values from the calculation:
Calculated formation energy (eV/atom): -0.134
ρ (g cm⁻³): 4.2
Symmetry: P-6m2 (187)
Energy relative to the lowest polymorph listed for this composition (kJ per mole of atoms): 35.2

***

DFT (PBE-GGA) results for a relaxed Na10YbSn12 crystal.

a = 9.7494 Å, b = 9.7494 Å, c = 9.7494 Å
α = 109.47°, β = 109.47°, γ = 109.47°
Site moments in Bohr magnetons follow the coordinates.
Atoms (fractional coordinates):
Na  0.7500  0.5000  0.2500  0.00
Sn  0.0000  0.1884  0.3710  0.00
Na  0.5000  0.2500  0.7500  0.00
Sn  0.1884  0.0000  0.3710  0.00
Sn  0.1884  0.3710  0.0000  0.00
Sn  0.3710  0.1884  0.0000  0.00
Na  0.0000  0.6149  0.0000  0.00
Sn  0.3710  0.0000  0.1884  0.00
Na  0.3851  0.3851  0.3851  0.00
Na  0.2500  0.5000  0.7500  0.00
Na  0.5000  0.7500  0.2500  0.00
Sn  0.0000  0.3710  0.1884  0.00
Na  0.7500  0.2500  0.5000  0.00
Sn  0.8174  0.6290  0.6290  0.00
Yb  0.0000  0.0000  0.0000  0.26
Sn  0.6290  0.8174  0.6290  0.00
Na  0.2500  0.7500  0.5000  0.00
Sn  0.1826  0.8116  0.8116  0.00
Sn  0.8116  0.8116  0.1826  0.00
Na  0.6149  0.0000  0.0000  0.00
Sn  0.6290  0.6290  0.8174  0.00
Na  0.0000  0.0000  0.6149  0.00
Sn  0.8116  0.1826  0.8116  0.00

Values from the calculation:
Calculated formation energy (eV/atom): -0.272
ρ (g cm⁻³): 4.3
Symmetry: I-43m (217)

***

DFT (PBE-GGA) results for a relaxed Na2Zn2Sn crystal.

a = 4.2965 Å, b = 4.2965 Å, c = 7.2540 Å
α = 72.77°, β = 72.77°, γ = 90.00°
Atoms (fractional coordinates):
Na  0.2500  0.7500  0.5000
Zn  0.5923  0.5923  0.8154
Zn  0.4077  0.4077  0.1846
Sn  0.0000  0.0000  0.0000
Na  0.7500  0.2500  0.5000

Values from the calculation:
Calculated formation energy (eV/atom): 0.167
ρ (g cm⁻³): 4.0
Symmetry: I4/mmm (139)
Energy relative to the lowest polymorph listed for this composition (kJ per mole of atoms): 25.9

***

DFT (PBE-GGA) results for a relaxed Na2ZnSn4 crystal.

a = 5.6366 Å, b = 6.0993 Å, c = 7.2947 Å
α = 114.71°, β = 90.00°, γ = 90.00°
Atoms (fractional coordinates):
Sn  0.5000  0.6075  0.2150
Sn  0.0000  0.7082  0.4164
Na  0.5000  0.1467  0.2933
Sn  0.5000  0.3925  0.7850
Na  0.5000  0.8533  0.7067
Sn  0.0000  0.2918  0.5836
Zn  0.0000  0.5000  0.0000

Values from the calculation:
Calculated formation energy (eV/atom): 0.047
ρ (g cm⁻³): 4.3
Symmetry: Cmmm (65)

***

DFT (PBE-GGA) results for a relaxed NaZn3Sn crystal.

a = 4.2245 Å, b = 7.4302 Å, c = 6.9521 Å
α = 73.58°, β = 89.82°, γ = 90.01°
Atoms (fractional coordinates):
Zn  0.4749  0.0732  0.5262
Zn  0.4753  0.9564  0.9241
Zn  0.9762  0.3960  0.9774
Na  0.9746  0.8650  0.2720
Zn  0.4754  0.1810  0.1355
Na  0.4775  0.4879  0.6297
Sn  0.4753  0.5658  0.1415
Sn  0.9765  0.7867  0.7600
Zn  0.9756  0.1715  0.7659
Zn  0.9750  0.2804  0.3754

Values from the calculation:
Calculated formation energy (eV/atom): -0.037
ρ (g cm⁻³): 5.4
Symmetry: P1 (1)
Energy relative to the lowest polymorph listed for this composition (kJ per mole of atoms): 0.0

***

DFT (PBE-GGA) results for a relaxed Na2ZnSn3 crystal.

a = 4.9610 Å, b = 6.2870 Å, c = 6.1473 Å
α = 79.06°, β = 66.20°, γ = 66.76°
Atoms (fractional coordinates):
Sn  0.1541  0.7690  0.9227
Na  0.4315  0.8197  0.3173
Sn  0.8582  0.5896  0.6939
Sn  0.8249  0.2408  0.1094
Zn  0.1725  0.3994  0.2555
Na  0.5587  0.1816  0.7011

Values from the calculation:
Calculated formation energy (eV/atom): -0.146
ρ (g cm⁻³): 4.8
Symmetry: Cm (8)
Energy relative to the lowest polymorph listed for this composition (kJ per mole of atoms): 0.0

***

DFT (PBE-GGA) results for a relaxed NaZn3Sn3 crystal.

a = 7.5467 Å, b = 7.5467 Å, c = 7.5467 Å
α = 90.00°, β = 90.00°, γ = 90.00°
Atoms (fractional coordinates):
Sn  0.5000  0.2500  0.0000
Zn  0.2500  0.5000  0.0000
Sn  0.2500  0.0000  0.5000
Zn  0.7500  0.5000  0.0000
Sn  0.7500  0.0000  0.5000
Zn  0.5000  0.0000  0.7500
Na  0.0000  0.0000  0.0000
Zn  0.0000  0.7500  0.5000
Zn  0.5000  0.0000  0.2500
Na  0.5000  0.5000  0.5000
Sn  0.0000  0.5000  0.2500
Zn  0.0000  0.2500  0.5000
Sn  0.5000  0.7500  0.0000
Sn  0.0000  0.5000  0.7500

Values from the calculation:
Calculated formation energy (eV/atom): 0.206
ρ (g cm⁻³): 4.4
Symmetry: Pm-3n (223)
Energy relative to the lowest polymorph listed for this composition (kJ per mole of atoms): 11.3